# PuMg

PuMg after structural relaxation (GGA-PBE, the Open Quantum Materials Database).

Properties
- E_tot: -7.744 eV per atom

Cell lengths 6.645, 6.645, 5.338 Å; angles 90.00, 90.00, 119.99 degrees
Element x y z (fractional)
Mg 0.496 0.992 0.000
Mg 0.496 0.504 0.000
Mg 0.008 0.504 0.000
Mg 0.333 0.667 0.500
Pu 0.000 0.000 0.000
Pu 0.835 0.670 0.500
Pu 0.330 0.165 0.500
Pu 0.835 0.165 0.500

=====

# PuMg

PuMg after structural relaxation (GGA-PBE, the Open Quantum Materials Database).

Properties
- E_tot: -7.743 eV per atom

Cell lengths 5.672, 6.669, 5.357 Å; angles 90.00, 90.00, 90.00 degrees
Element x y z (fractional)
Pu 0.839 0.756 0.500
Pu 0.839 0.244 0.500
Pu 0.341 0.000 0.500
Pu 0.983 0.000 0.000
Mg 0.007 0.500 0.000
Mg 0.332 0.500 0.500
Mg 0.495 0.736 0.000
Mg 0.495 0.264 0.000

=====

# PuMg

PuMg after structural relaxation (GGA-PBE, the Open Quantum Materials Database).

Properties
- E_tot: -6.387 eV per atom

Cell lengths 5.146, 5.146, 5.146 Å; angles 60.00, 60.00, 60.00 degrees
Element x y z (fractional)
Mg 0.000 0.000 0.000
Pu 0.250 0.250 0.250

=====

# PuMg

PuMg after structural relaxation (GGA-PBE, the Open Quantum Materials Database).

Properties
- E_tot: -7.778 eV per atom

Cell lengths 5.385, 3.021, 6.125 Å; angles 90.00, 90.00, 90.00 degrees
Element x y z (fractional)
Mg 0.750 0.000 0.861
Mg 0.250 0.000 0.139
Pu 0.250 0.500 0.641
Pu 0.750 0.500 0.359

=====

# PuMg

PuMg after structural relaxation (GGA-PBE, the Open Quantum Materials Database).

Properties
- E_tot: -7.752 eV per atom

Cell lengths 5.825, 3.343, 5.174 Å; angles 90.00, 90.00, 90.00 degrees
Element x y z (fractional)
Pu 0.357 0.000 0.500
Pu 0.476 0.500 0.000
Mg 0.851 0.500 0.500
Mg 0.982 0.000 0.000

=====

# PuMg2

PuMg2 after structural relaxation (GGA-PBE, the Open Quantum Materials Database).

Properties
- E_tot: -5.644 eV per atom

Cell lengths 14.579, 8.648, 5.251 Å; angles 90.00, 90.00, 65.09 degrees
Element x y z (fractional)
Mg 0.655 0.685 0.000
Mg 0.690 0.867 0.500
Mg 0.951 0.618 0.500
Mg 0.612 0.276 0.500
Mg 0.539 0.676 0.500
Mg 0.267 0.948 0.500
Mg 0.928 0.414 0.000
Mg 0.505 0.493 0.000
Mg 0.408 0.893 0.000
Mg 0.583 0.085 0.000
Mg 0.112 0.783 0.500
Mg 0.082 0.578 0.000
Mg 0.027 0.203 0.500
Mg 0.243 0.743 0.000
Mg 0.786 0.468 0.500
Mg 0.167 0.159 0.000
Pu 0.992 0.997 0.000
Pu 0.364 0.523 0.500
Pu 0.438 0.107 0.500
Pu 0.830 0.839 0.000
Pu 0.756 0.255 0.000
Pu 0.334 0.323 0.000
Pu 0.203 0.364 0.500
Pu 0.860 0.038 0.500

=====

# PuMg2

PuMg2 after structural relaxation (GGA-PBE, the Open Quantum Materials Database).

Properties
- E_tot: -5.636 eV per atom

Cell lengths 5.698, 9.962, 5.244 Å; angles 90.00, 90.00, 90.00 degrees
Element x y z (fractional)
Pu 0.849 0.503 0.500
Pu 0.985 0.003 0.000
Pu 0.849 0.163 0.500
Pu 0.985 0.663 0.000
Mg 0.994 0.333 0.000
Mg 0.493 0.833 0.000
Mg 0.349 0.675 0.500
Mg 0.485 0.492 0.000
Mg 0.340 0.333 0.500
Mg 0.485 0.175 0.000
Mg 0.839 0.833 0.500
Mg 0.349 0.992 0.500

=====

# PuMg

PuMg after structural relaxation (GGA-PBE, the Open Quantum Materials Database).

Properties
- E_tot: -7.743 eV per atom

Cell lengths 8.778, 6.719, 5.229 Å; angles 90.00, 90.00, 101.23 degrees
Element x y z (fractional)
Mg 0.900 0.725 0.500
Mg 0.903 0.223 0.500
Mg 0.673 0.671 0.000
Mg 0.216 0.052 0.500
Mg 0.986 0.499 0.000
Mg 0.989 0.997 0.000
Pu 0.564 0.383 0.500
Pu 0.325 0.339 0.000
Pu 0.656 0.165 0.000
Pu 0.330 0.826 0.000
Pu 0.559 0.896 0.500
Pu 0.233 0.557 0.500